#i
# Cd2IrSe2 (PBE, optimized geometry)
# space-group type	No. 127
# ρ	9.2	g/cm3
data_Cd2IrSe2
_cell_length_a 7.405
_cell_length_b 7.405
_cell_length_c 3.785
_cell_angle_alpha 90.00
_cell_angle_beta 90.00
_cell_angle_gamma 90.00
_space_group_name_H-M_alt 'P 1'
_space_group_IT_number 1
loop_
_space_group_symop_operation_xyz
'x,y,z'
loop_
_atom_site_label
_atom_site_fract_x
_atom_site_fract_y
_atom_site_fract_z
Cd1 0.640 0.140 0.000
Se1 0.326 0.174 0.500
Cd2 0.860 0.640 0.000
Ir1 0.500 0.500 0.000
Se2 0.826 0.326 0.500
Cd3 0.140 0.360 0.000
Ir2 0.000 0.000 0.000
Cd4 0.360 0.860 0.000
Se3 0.174 0.674 0.500
Se4 0.674 0.826 0.500

=====

#ii
# Cd2IrSe2 (PBE, optimized geometry)
# space-group type	No. 139
# ρ	8.5	g/cm3
data_Cd2IrSe2
_cell_length_a 3.597
_cell_length_b 3.597
_cell_length_c 9.051
_cell_angle_alpha 78.54
_cell_angle_beta 78.54
_cell_angle_gamma 90.00
_space_group_name_H-M_alt 'P 1'
_space_group_IT_number 1
loop_
_space_group_symop_operation_xyz
'x,y,z'
loop_
_atom_site_label
_atom_site_fract_x
_atom_site_fract_y
_atom_site_fract_z
Cd1 0.582 0.582 0.835
Se1 0.250 0.750 0.500
Ir1 0.000 0.000 0.000
Se2 0.750 0.250 0.500
Cd2 0.418 0.418 0.165

=====

Which of them is the most stable? Correct choice: #ii.

=====

#i
# Cd2Ir2Se (PBE, optimized geometry)
# space-group type	No. 127
# ρ	12.2	g/cm3
data_Cd2Ir2Se
_cell_length_a 6.612
_cell_length_b 6.612
_cell_length_c 4.286
_cell_angle_alpha 90.00
_cell_angle_beta 90.00
_cell_angle_gamma 90.00
_space_group_name_H-M_alt 'P 1'
_space_group_IT_number 1
loop_
_space_group_symop_operation_xyz
'x,y,z'
loop_
_atom_site_label
_atom_site_fract_x
_atom_site_fract_y
_atom_site_fract_z
Ir1 0.644 0.144 0.000
Cd1 0.159 0.659 0.500
Cd2 0.341 0.159 0.500
Cd3 0.841 0.341 0.500
Ir2 0.856 0.644 0.000
Cd4 0.659 0.841 0.500
Ir3 0.356 0.856 0.000
Se1 0.000 0.000 0.000
Ir4 0.144 0.356 0.000
Se2 0.500 0.500 0.000

=====

#ii
# Cd2Ir2Se (PBE, optimized geometry)
# space-group type	No. 139
# ρ	11.9	g/cm3
data_Cd2Ir2Se
_cell_length_a 3.725
_cell_length_b 3.725
_cell_length_c 7.380
_cell_angle_alpha 75.38
_cell_angle_beta 75.38
_cell_angle_gamma 90.00
_space_group_name_H-M_alt 'P 1'
_space_group_IT_number 1
loop_
_space_group_symop_operation_xyz
'x,y,z'
loop_
_atom_site_label
_atom_site_fract_x
_atom_site_fract_y
_atom_site_fract_z
Cd1 0.750 0.250 0.500
Se1 0.000 0.000 0.000
Cd2 0.250 0.750 0.500
Ir1 0.594 0.594 0.813
Ir2 0.406 0.406 0.187

=====

Which of them is the most stable? Correct choice: #i.

=====

#i
# CdSiIr3 (PBE, optimized geometry)
# space-group type	No. 221
# ρ	10.5	g/cm3
data_CdSiIr3
_cell_length_a 4.833
_cell_length_b 4.833
_cell_length_c 4.833
_cell_angle_alpha 90.00
_cell_angle_beta 90.00
_cell_angle_gamma 90.00
_space_group_name_H-M_alt 'P 1'
_space_group_IT_number 1
loop_
_space_group_symop_operation_xyz
'x,y,z'
loop_
_atom_site_label
_atom_site_fract_x
_atom_site_fract_y
_atom_site_fract_z
Ir1 0.000 0.000 0.500
Ir2 0.000 0.500 0.000
Cd1 0.000 0.000 0.000
Ir3 0.500 0.000 0.000
Si1 0.500 0.500 0.500

=====

#ii
# CdSiIr3 (PBE, optimized geometry)
# space-group type	No. 221
# ρ	13.5	g/cm3
data_CdSiIr3
_cell_length_a 4.457
_cell_length_b 4.457
_cell_length_c 4.457
_cell_angle_alpha 90.00
_cell_angle_beta 90.00
_cell_angle_gamma 90.00
_space_group_name_H-M_alt 'P 1'
_space_group_IT_number 1
loop_
_space_group_symop_operation_xyz
'x,y,z'
loop_
_atom_site_label
_atom_site_fract_x
_atom_site_fract_y
_atom_site_fract_z
Ir1 0.500 0.000 0.000
Cd1 0.500 0.500 0.500
Si1 0.000 0.000 0.000
Ir2 0.000 0.000 0.500
Ir3 0.000 0.500 0.000

=====

Which of them is the most stable? Correct choice: #ii.

=====

#i
# Sm3CdIr (PBE, optimized geometry)
# space-group type	No. 2
# ρ	9.0	g/cm3
data_Sm3CdIr
_cell_length_a 5.776
_cell_length_b 6.511
_cell_length_c 9.304
_cell_angle_alpha 65.71
_cell_angle_beta 64.69
_cell_angle_gamma 67.14
_space_group_name_H-M_alt 'P 1'
_space_group_IT_number 1
loop_
_space_group_symop_operation_xyz
'x,y,z'
loop_
_atom_site_label
_atom_site_fract_x
_atom_site_fract_y
_atom_site_fract_z
Cd1 0.649 0.260 0.514
Sm1 0.265 0.310 0.300
Cd2 0.351 0.740 0.486
Sm2 0.064 0.054 0.749
Ir1 0.249 0.699 0.010
Sm3 0.307 0.318 0.894
Sm4 0.735 0.690 0.700
Sm5 0.936 0.946 0.251
Sm6 0.693 0.682 0.106
Ir2 0.751 0.301 0.990

=====

#ii
# Sm3CdIr (PBE, optimized geometry)
# space-group type	No. 11
# ρ	8.7	g/cm3
data_Sm3CdIr
_cell_length_a 4.659
_cell_length_b 7.560
_cell_length_c 8.649
_cell_angle_alpha 109.04
_cell_angle_beta 90.00
_cell_angle_gamma 90.00
_space_group_name_H-M_alt 'P 1'
_space_group_IT_number 1
loop_
_space_group_symop_operation_xyz
'x,y,z'
loop_
_atom_site_label
_atom_site_fract_x
_atom_site_fract_y
_atom_site_fract_z
Ir1 0.750 0.088 0.609
Sm1 0.250 0.697 0.066
Sm2 0.250 0.935 0.732
Sm3 0.750 0.065 0.268
Sm4 0.250 0.329 0.593
Sm5 0.750 0.671 0.407
Cd1 0.250 0.332 0.200
Ir2 0.250 0.912 0.391
Sm6 0.750 0.303 0.934
Cd2 0.750 0.668 0.800

=====

Which of them is the most stable? Correct choice: #i.

=====

#i
# Sm4CdIr (PBE, optimized geometry)
# space-group type	No. 216
# ρ	9.0	g/cm3
data_Sm4CdIr
_cell_length_a 9.833
_cell_length_b 9.833
_cell_length_c 9.833
_cell_angle_alpha 60.00
_cell_angle_beta 60.00
_cell_angle_gamma 60.00
_space_group_name_H-M_alt 'P 1'
_space_group_IT_number 1
loop_
_space_group_symop_operation_xyz
'x,y,z'
loop_
_atom_site_label
_atom_site_fract_x
_atom_site_fract_y
_atom_site_fract_z
Sm1 0.599 0.599 0.203
Sm2 0.440 0.060 0.060
Sm3 0.189 0.811 0.189
Sm4 0.060 0.060 0.440
Sm5 0.811 0.189 0.811
Sm6 0.811 0.189 0.189
Ir1 0.392 0.392 0.825
Ir2 0.825 0.392 0.392
Sm7 0.599 0.203 0.599
Ir3 0.392 0.392 0.392
Sm8 0.599 0.599 0.599
Sm9 0.060 0.440 0.440
Ir4 0.392 0.825 0.392
Cd1 0.830 0.830 0.509
Sm10 0.203 0.599 0.599
Cd2 0.509 0.830 0.830
Cd3 0.830 0.830 0.830
Sm11 0.189 0.189 0.811
Sm12 0.811 0.811 0.189
Cd4 0.830 0.509 0.830
Sm13 0.189 0.811 0.811
Sm14 0.060 0.440 0.060
Sm15 0.440 0.440 0.060
Sm16 0.440 0.060 0.440

=====

#ii
# Sm4CdIr (PBE, optimized geometry)
# space-group type	No. 14
# ρ	7.8	g/cm3
data_Sm4CdIr
_cell_length_a 7.073
_cell_length_b 7.169
_cell_length_c 7.588
_cell_angle_alpha 90.00
_cell_angle_beta 92.49
_cell_angle_gamma 90.00
_space_group_name_H-M_alt 'P 1'
_space_group_IT_number 1
loop_
_space_group_symop_operation_xyz
'x,y,z'
loop_
_atom_site_label
_atom_site_fract_x
_atom_site_fract_y
_atom_site_fract_z
Sm1 0.825 0.157 0.361
Ir1 0.000 0.500 0.500
Ir2 0.500 0.000 0.500
Cd1 0.500 0.500 0.000
Sm2 0.325 0.343 0.361
Sm3 0.675 0.657 0.639
Sm4 0.122 0.357 0.816
Sm5 0.175 0.843 0.639
Sm6 0.378 0.857 0.184
Sm7 0.878 0.643 0.184
Sm8 0.622 0.143 0.816
Cd2 0.000 0.000 0.000

=====

Which of them is the most stable? Correct choice: #i.

=====

#i
# SrCd2Ir2 (PBE, optimized geometry)
# space-group type	No. 127
# ρ	11.4	g/cm3
data_SrCd2Ir2
_cell_length_a 8.006
_cell_length_b 8.006
_cell_length_c 3.172
_cell_angle_alpha 90.00
_cell_angle_beta 90.00
_cell_angle_gamma 90.00
_space_group_name_H-M_alt 'P 1'
_space_group_IT_number 1
loop_
_space_group_symop_operation_xyz
'x,y,z'
loop_
_atom_site_label
_atom_site_fract_x
_atom_site_fract_y
_atom_site_fract_z
Cd1 0.170 0.670 0.500
Ir1 0.623 0.123 0.000
Ir2 0.377 0.877 0.000
Sr1 0.500 0.500 0.000
Ir3 0.877 0.623 0.000
Cd2 0.830 0.330 0.500
Cd3 0.670 0.830 0.500
Cd4 0.330 0.170 0.500
Ir4 0.123 0.377 0.000
Sr2 0.000 0.000 0.000

=====

#ii
# SrCd2Ir2 (PBE, optimized geometry)
# space-group type	No. 139
# ρ	10.1	g/cm3
data_SrCd2Ir2
_cell_length_a 4.518
_cell_length_b 4.518
_cell_length_c 6.460
_cell_angle_alpha 69.53
_cell_angle_beta 69.53
_cell_angle_gamma 90.00
_space_group_name_H-M_alt 'P 1'
_space_group_IT_number 1
loop_
_space_group_symop_operation_xyz
'x,y,z'
loop_
_atom_site_label
_atom_site_fract_x
_atom_site_fract_y
_atom_site_fract_z
Sr1 0.000 0.000 0.000
Ir1 0.394 0.394 0.213
Cd1 0.250 0.750 0.500
Ir2 0.606 0.606 0.787
Cd2 0.750 0.250 0.500

=====

Which of them is the most stable? Correct choice: #ii.